[1]
Here is a relaxed CdSiOs2 crystal from the Alexandria database. Energies are from PBE.

```
4
Lattice="9.044 -0.005 -0.003 8.595 2.817 -0.003 8.595 1.370 2.461" Properties=species:S:1:pos:R:3 pbc="T T T"
Cd 6.558 1.046 0.614
Os 0.206 0.033 0.019
Os 19.736 3.147 1.847
Si 12.850 2.049 1.203
```

Values from the calculation:
- formation energy without anion corrections (meV per atom) = 266
- SG = R3m

[2]
Here is a relaxed CdSi2TcOs crystal from the Alexandria database. Energies are from PBE.

```
5
Lattice="4.512 0.000 0.000 0.000 5.187 0.000 0.000 0.000 4.512" Properties=species:S:1:pos:R:3 pbc="T T T"
Os 2.256 2.593 2.256
Si 0.000 0.000 2.256
Tc 0.000 0.000 0.000
Si 2.256 0.000 0.000
Cd 0.000 2.593 0.000
```

Values from the calculation:
- formation energy without anion corrections (meV per atom) = 1368
- SG = P4/mmm

[3]
Here is a relaxed TiCdSi2Os crystal from the Alexandria database. Energies are from PBE.

```
5
Lattice="-2.495 3.507 1.853 -4.003 -2.987 0.263 1.291 -1.352 4.297" Properties=species:S:1:pos:R:3 pbc="T T T"
Os -2.002 -1.493 0.131
Cd 0.000 0.000 0.000
Si 0.646 -0.676 2.149
Ti -2.604 -0.416 3.207
Si -1.248 1.754 0.927
```

Values from the calculation:
- formation energy without anion corrections (meV per atom) = 1891
- SG = P4/mmm

[4]
Here is a relaxed Sm5CdOs2 crystal from the Alexandria database. Energies are from PBE.

```
16
Lattice="-2.290 -7.605 -0.426 7.459 -2.329 1.481 -3.914 4.990 6.203" Properties=species:S:1:pos:R:3 pbc="T T T"
Sm 0.000 0.000 0.000
Cd 1.920 -4.955 3.893
Sm -2.943 -2.215 4.587
Cd -0.665 0.012 3.365
Os 2.351 -1.910 0.471
Os -0.414 -5.207 -0.064
Sm -3.170 2.015 4.527
Sm 4.425 -6.959 2.731
Sm 1.208 -1.981 5.406
Sm 4.198 -2.728 2.671
Os 5.583 -4.727 1.119
Sm 2.584 -4.967 0.528
Os 2.818 -8.023 0.584
Sm 0.047 -2.963 1.852
Sm 0.274 -7.193 1.912
Sm 0.981 2.250 5.346
```

Values from the calculation:
- SG = I4/mcm
- E_form (kJ/mol of formula units) = -157

[5]
Here is a relaxed Sm6Cd2Os crystal from the Alexandria database. Energies are from PBE.

```
18
Lattice="6.963 0.000 0.382 0.000 7.543 0.000 -0.344 0.000 10.712" Properties=species:S:1:pos:R:3 pbc="T T T"
Cd 3.592 6.834 8.260
Os -0.172 0.000 5.356
Sm 4.502 1.462 6.048
Sm 1.168 2.377 4.988
Sm 2.141 6.149 0.559
Cd 6.336 3.063 8.381
Sm 5.450 5.165 6.105
Sm 4.478 1.394 10.535
Os 3.482 3.771 0.191
Sm 0.434 0.005 8.059
Sm 2.116 6.081 5.046
Cd 0.282 4.480 2.713
Sm 6.185 7.537 3.035
Cd 3.027 0.709 2.834
Sm 5.426 5.233 10.593
Sm 2.531 3.776 8.200
Sm 4.088 3.766 2.894
Sm 1.193 2.309 0.501
```

Values from the calculation:
- SG = P2_1/c
- E_form (kJ/mol of formula units) = -91

[6]
Here is a relaxed Sm4CdOs crystal from the Alexandria database. Energies are from PBE.

```
24
Lattice="8.508 0.000 4.912 2.836 8.022 4.912 0.000 0.000 9.825" Properties=species:S:1:pos:R:3 pbc="T T T"
Os 5.672 1.316 9.825
Sm 10.678 7.550 14.737
Cd 1.933 1.367 6.477
Cd 4.643 1.367 4.912
Sm 2.163 1.529 9.825
Os 6.943 4.909 12.025
Sm 3.918 6.493 6.785
Sm 3.918 6.493 12.864
Sm 7.424 7.550 16.616
Sm 9.593 4.482 16.616
Sm 5.672 6.317 9.825
Sm 4.585 3.242 7.942
Os 6.943 4.909 7.624
Sm 9.182 6.493 9.825
Sm 6.339 4.482 14.737
Os 3.132 4.909 9.825
Sm 7.427 1.529 12.864
Cd 1.933 1.367 3.348
Sm 7.846 3.242 9.825
Cd 2.836 3.922 4.912
Sm 7.424 7.550 12.858
Sm 9.593 4.482 12.858
Sm 7.427 1.529 6.785
Sm 4.585 3.242 11.707
```

Values from the calculation:
- SG = F-43m
- E_form (kJ/mol of formula units) = -133

[7]
Here is a relaxed Sm3CdOs crystal from the Alexandria database. Energies are from PBE.

```
10
Lattice="-3.734 -1.598 -1.873 4.127 -5.189 -3.800 -2.207 -3.828 7.666" Properties=species:S:1:pos:R:3 pbc="T T T"
Sm 1.825 -4.358 -2.591
Sm -0.964 -6.194 -0.804
Os -3.732 -4.052 2.888
Sm -3.131 -2.661 0.501
Os 1.918 -6.563 -0.894
Sm -0.850 -4.421 2.797
Cd 0.039 -2.959 -0.224
Sm 1.317 -7.954 1.492
Sm -3.640 -6.257 4.584
Cd -1.853 -7.656 2.217
```

Values from the calculation:
- SG = P2_1/m
- E_form (kJ/mol of formula units) = -62

[8]
Here is a relaxed Sm7Cd2Os2 crystal from the Alexandria database. Energies are from PBE.

```
11
Lattice="6.861 -0.003 -0.797 0.003 7.298 0.003 -1.222 -0.002 6.798" Properties=species:S:1:pos:R:3 pbc="T T T"
Os 4.507 7.295 1.421
Cd 4.665 3.645 4.965
Cd 0.977 3.648 1.040
Sm 0.000 0.000 0.000
Os 1.134 -0.002 4.584
Sm 2.823 5.548 3.002
Sm 2.818 1.745 3.003
Sm 6.248 1.816 2.606
Sm 3.429 1.818 -0.396
Sm -0.607 5.477 3.399
Sm 2.213 5.474 6.400
```

Values from the calculation:
- SG = Cmmm
- E_form (kJ/mol of formula units) = -112

[9]
Here is a relaxed Sm4CdOs crystal from the Alexandria database. Energies are from PBE.

```
12
Lattice="6.237 -0.783 0.000 -2.590 8.868 0.000 -1.824 -4.042 6.584" Properties=species:S:1:pos:R:3 pbc="T T T"
Sm -1.658 2.083 5.546
Sm 3.482 1.960 1.038
Cd 1.559 -0.196 4.957
Sm 3.016 -1.290 2.233
Os -2.854 4.629 6.577
Sm 3.285 5.734 1.038
Sm -1.461 -1.691 5.546
Os 4.678 -0.587 0.007
Cd 0.265 4.238 1.627
Sm 1.721 3.144 4.351
Sm -1.192 5.332 4.351
Sm 0.103 0.899 2.233
```

Values from the calculation:
- SG = C2/c
- E_form (kJ/mol of formula units) = -117

[10]
Here is a relaxed Sm3CdOs crystal from the Alexandria database. Energies are from PBE.

```
10
Lattice="5.879 0.088 -1.210 -2.706 5.221 -1.210 -0.072 -0.121 8.754" Properties=species:S:1:pos:R:3 pbc="T T T"
Sm 3.515 1.005 6.813
Sm 0.595 2.118 5.425
Os 2.380 3.981 -1.815
Sm 2.507 3.070 0.908
Cd 3.559 1.079 3.272
Sm 3.171 4.180 4.215
Cd -0.457 4.109 3.061
Os 0.793 1.327 -0.605
Sm -0.069 1.007 2.118
Sm -0.413 4.183 -0.479
```

Values from the calculation:
- SG = Fmmm
- E_form (kJ/mol of formula units) = -108

[11]
Here is a relaxed Sm2CdOs crystal from the Alexandria database. Energies are from PBE.

```
4
Lattice="5.119 0.000 0.000 2.559 4.433 0.000 2.559 1.478 4.179" Properties=species:S:1:pos:R:3 pbc="T T T"
Sm 2.559 1.478 1.045
Os 0.000 0.000 0.000
Cd 5.119 2.955 2.090
Sm 7.678 4.433 3.135
```

Values from the calculation:
- SG = Fm-3m
- E_form (kJ/mol of formula units) = -43

[12]
Here is a relaxed Sm8CdOs2 crystal from the Alexandria database. Energies are from PBE.

```
11
Lattice="-3.951 0.186 -4.018 -3.299 -5.819 4.400 -1.341 7.268 3.079" Properties=species:S:1:pos:R:3 pbc="T T T"
Os -1.952 3.181 3.492
Sm -4.019 0.946 3.416
Cd -1.975 0.093 -2.009
Os -2.687 -1.732 3.987
Sm -3.806 4.086 1.401
Sm -4.784 -2.451 2.060
Sm -4.571 0.689 0.045
Sm -7.633 -0.389 2.485
Sm -1.474 -1.427 1.325
Sm -0.957 2.023 0.977
Sm -7.117 3.062 2.136
```

Values from the calculation:
- SG = C2/m
- E_form (kJ/mol of formula units) = -95